Below is a geometry-optimized MoPb3O structure, with properties calculated at the PBE+U level.

a = 5.0352 Å, b = 5.0352 Å, c = 5.0352 Å
α = 90.00°, β = 90.00°, γ = 90.00°
Atoms (fractional coordinates):
Mo1 0.0000 0.0000 0.0000
Pb1 0.0000 0.5000 0.5000
Pb2 0.5000 0.0000 0.5000
Pb3 0.5000 0.5000 0.0000
O1 0.5000 0.5000 0.5000

Values from the calculation:
As for the crystal system: cubic. The calculation puts the raw total energy at -22.37 eV for the cell shown. The value obtained for the energy above the most stable polymorph in this dataset is 0 meV per atom. The calculation puts the density of states at the Fermi level at 3.684 states/eV/cell. Its total magnetization is 4.24 μB/f.u.